Entry 1:
This record from the Alexandria database describes an optimized crystal structure of Cs4KZn3F12. The functional is PBE.

Results
total magnetization	1.1	μB/f.u.
N(E_F)	0.4026	states/eV per atom
theoretical density	4.7	Mg/m³
E_form (uncorrected)	-2.468	eV/atom

extended XYZ file:
```
20
Lattice="-0.4852 -4.8215 -5.9879 1.5337 -4.0016 6.4010 -6.6878 3.7282 0.8431" Properties=species:S:1:pos:R:3 pbc="T T T"
F -1.4787 -0.0784 2.0783
K 0.0000 0.0000 0.0000
Cs -0.2426 -2.4107 -2.9940
F 0.3008 -2.5313 0.1185
F -2.3149 -2.3425 3.7253
Zn -2.5771 -0.1367 3.6220
F -2.0579 -0.3137 -1.4760
F -1.2690 -4.6849 -1.0797
F -0.7643 -4.4799 2.0175
F -5.1151 -0.7796 -3.6688
F -3.3244 -2.7524 -2.4691
Cs 0.7669 -2.0008 3.2005
F -4.8750 -0.6150 -0.7614
Zn 0.5243 -4.4115 0.2065
F -4.3703 -0.4100 2.3358
F -3.6754 -0.1950 5.1658
F 0.7477 -6.2918 0.2945
Cs -2.8197 -2.5474 0.6281
Cs -3.3439 1.8641 0.4216
Zn -3.5865 -0.5466 -2.5724
```

Entry 2:
This record from the Alexandria database describes an optimized crystal structure of SmTm3Th3. The functional is PBE.

Results
formation energy from the elements	0.062	eV per atom
total magnetization	0.0	μB/f.u.
N(E_F)	1.5824	states/eV per atom
theoretical density	10.0	Mg/m³

extended XYZ file:
```
14
Lattice="5.7846 0.0000 0.0000 0.0000 8.1934 -4.7305 0.0000 0.0000 9.4610" Properties=species:S:1:pos:R:3 pbc="T T T"
Th 1.4461 3.9583 -1.3291
Th 1.4461 7.3653 -0.6379
Tm 4.3384 7.8452 -2.6989
Tm 1.4461 0.3482 7.4294
Tm 4.3384 6.6081 3.4131
Tm 1.4461 6.2599 5.4447
Th 4.3384 0.8281 5.3684
Th 4.3384 3.1302 2.7634
Th 4.3384 4.2351 6.0596
Th 1.4461 5.0632 1.9670
Tm 4.3384 1.9335 -0.7143
Sm 1.4461 2.7311 4.7305
Sm 4.3384 5.4623 0.0000
Tm 1.4461 1.5853 1.3173
```

Entry 3:
This record from the Alexandria database describes an optimized crystal structure of ErPaZnRu. The functional is PBE.

Results
formation energy from the elements	-0.221	eV per atom
total magnetization	0.0	μB/f.u.
N(E_F)	1.2048	states/eV per atom
theoretical density	11.3	Mg/m³

extended XYZ file:
```
4
Lattice="4.8988 0.0000 0.0000 2.4494 4.2425 0.0000 2.4494 1.4142 3.9998" Properties=species:S:1:pos:R:3 pbc="T T T"
Zn 0.0000 0.0000 0.0000
Er 2.4494 1.4142 1.0000
Pa 7.3481 4.2425 2.9999
Ru 4.8988 2.8283 1.9999
```

Entry 4:
This record from the Alexandria database describes an optimized crystal structure of PrGdTmSn. The functional is PBE.

Results
formation energy from the elements	-0.265	eV per atom
total magnetization	7.8	μB/f.u.
N(E_F)	1.1470	states/eV per atom
theoretical density	8.3	Mg/m³

extended XYZ file:
```
4
Lattice="5.4896 0.0000 0.0000 2.7448 4.7541 0.0000 2.7448 1.5847 4.4822" Properties=species:S:1:pos:R:3 pbc="T T T"
Pr 5.4896 3.1694 2.2411
Sn 2.7448 1.5847 1.1206
Tm 8.2344 4.7541 3.3617
Gd 0.0000 0.0000 0.0000
```

Entry 5:
This record from the Alexandria database describes an optimized crystal structure of BaCe2Er. The functional is PBE.

Results
formation energy from the elements	0.338	eV per atom
total magnetization	1.8	μB/f.u.
N(E_F)	2.9431	states/eV per atom
theoretical density	7.0	Mg/m³

extended XYZ file:
```
4
Lattice="-0.7963 -0.9752 -3.2889 0.1081 -3.4023 -0.9028 -12.5579 -2.7441 1.9687" Properties=species:S:1:pos:R:3 pbc="T T T"
Ce -9.1371 -2.3875 1.0347
Ba 0.0000 0.0000 0.0000
Er -6.6231 -3.5608 -1.1115
Ce -4.1090 -4.7340 -3.2578
```

Entry 6:
This record from the Alexandria database describes an optimized crystal structure of Pu4ZnGe. The functional is PBE.

Results
formation energy from the elements	0.266	eV per atom
total magnetization	9.3	μB/f.u.
N(E_F)	1.8653	states/eV per atom
theoretical density	15.9	Mg/m³

extended XYZ file:
```
6
Lattice="4.1222 0.0017 1.5155 1.8547 5.1215 1.3136 0.2870 -0.3672 5.5837" Properties=species:S:1:pos:R:3 pbc="T T T"
Pu 1.8300 2.1247 1.3838
Ge 3.1318 2.3780 4.2064
Pu 1.2980 0.2623 2.8328
Pu 4.4337 2.6312 7.0290
Pu 4.9657 4.4937 5.5800
Zn 4.1221 0.0017 1.5155
```